1.
VASP calculation (GGA-PBE) on a relaxed HfAlNiMo crystal.

Space group   F-43m, No. 216
Spin magnetization   0.0 μB per cell
Uncorrected energy   -7.6958 eV per atom
Density   9.7 g cm⁻³
Offset from the most stable computed form   0.0 meV per atom

Cell and atoms, written as POSCAR:
```
HfAlNiMo
1.0
0.0000 3.1381 3.1381
3.1381 0.0000 3.1381
3.1381 3.1381 0.0000
Hf Al Ni Mo
1 1 1 1
Cartesian
0.0000 0.0000 0.0000
3.1381 3.1381 3.1381
4.7071 4.7071 4.7071
1.5690 1.5690 1.5690
```

=====

2.
VASP calculation (GGA-PBE) on a relaxed Zn2OF2 crystal.

Space group   Fddd, No. 70
Uncorrected energy   -4.0245 eV per atom
Density   5.0 g cm⁻³
Offset from the most stable computed form   74.9 meV per atom

Cell and atoms, written as POSCAR:
```
Zn2OF2
1.0
0.0000 4.9596 5.1203
2.4028 0.0000 5.1203
2.4028 4.9596 0.0000
Zn O F
4 2 4
Cartesian
0.0000 0.0000 0.0000
1.2014 2.4798 0.0000
1.2014 0.0000 2.5601
0.0000 2.4798 2.5601
0.6007 1.2399 1.2801
4.2049 8.6793 8.9604
1.8021 1.7288 3.8402
3.0035 4.2086 6.4003
1.8021 5.7106 3.8402
3.0035 8.1904 6.4003
```

=====

3.
VASP calculation (GGA-PBE) on a relaxed ZrCoSnMo crystal.

Space group   F-43m, No. 216
Spin magnetization   0.9 μB per cell
Uncorrected energy   -7.6161 eV per atom
Density   8.9 g cm⁻³
Offset from the most stable computed form   0.0 meV per atom

Cell and atoms, written as POSCAR:
```
ZrCoSnMo
1.0
0.0000 3.2447 3.2447
3.2447 0.0000 3.2447
3.2447 3.2447 0.0000
Zr Co Sn Mo
1 1 1 1
Cartesian
0.0000 0.0000 0.0000
4.8670 4.8670 4.8670
3.2447 3.2447 3.2447
1.6223 1.6223 1.6223
```

=====

4.
VASP calculation (GGA-PBE) on a relaxed CsHfNO crystal.

Space group   P4/nmm, No. 129
Spin magnetization   1.3 μB per cell
Uncorrected energy   -6.5803 eV per atom
Density   6.5 g cm⁻³
Offset from the most stable computed form   1324.3 meV per atom

Cell and atoms, written as POSCAR:
```
CsHfNO
1.0
4.1895 0.0000 0.0000
0.0000 4.1895 0.0000
0.0000 0.0000 9.9786
Cs Hf N O
2 2 2 2
Cartesian
1.0474 1.0474 1.6847
3.1421 3.1421 8.2939
1.0474 3.1421 4.9893
3.1421 1.0474 4.9893
1.0474 1.0474 5.4894
3.1421 3.1421 4.4892
1.0474 3.1421 0.0000
3.1421 1.0474 0.0000
```

=====

5.
VASP calculation (GGA-PBE) on a relaxed Ta2NbRe crystal.

Space group   Pnma, No. 62
Spin magnetization   0.0 μB per cell
Uncorrected energy   -11.3157 eV per atom
Energy relative to the elements   0.24 eV/atom
Density   14.7 g cm⁻³

Cell and atoms, written as POSCAR:
```
Ta2NbRe
1.0
6.3033 0.0000 0.0000
0.0000 7.9591 0.0000
0.0000 0.0000 5.7538
Ta Nb Re
8 4 4
Cartesian
1.3597 0.2862 0.6124
1.3597 3.6933 0.6124
1.7920 4.2658 3.4892
1.7920 7.6728 3.4892
4.5113 0.2862 2.2645
4.5113 3.6933 2.2645
4.9437 4.2658 5.1414
4.9437 7.6728 5.1414
0.2124 1.9898 3.7714
2.9393 5.9693 0.8945
3.3641 1.9898 4.8593
6.0910 5.9693 1.9824
0.5874 5.9693 5.0491
2.5643 1.9898 2.1722
3.7390 5.9693 3.5816
5.7160 1.9898 0.7047
```

=====

6.
VASP calculation (GGA-PBE) on a relaxed Hf2Ta4Si3N3 crystal.

Space group   C2/c, No. 15
Spin magnetization   0.0 μB per cell
Uncorrected energy   -9.8351 eV per atom
Density   12.0 g cm⁻³

Cell and atoms, written as POSCAR:
```
Hf2Ta4Si3N3
1.0
4.7587 -2.7629 0.0000
4.7587 2.7629 0.0000
-3.1570 0.0000 12.7427
Hf Ta Si N
4 8 6 6
Cartesian
2.3784 2.3024 7.7454
2.4036 2.3024 11.3686
3.9569 -2.3024 1.3740
3.9821 -2.3024 4.9973
2.4049 0.4731 1.1162
2.3850 0.4314 5.2479
0.8264 -0.4731 7.4875
0.8065 -0.4314 11.6193
5.5540 0.4314 1.1234
5.5340 0.4731 5.2551
3.9755 -0.4314 7.4947
3.9555 -0.4731 11.6265
-0.5422 0.6069 9.5457
1.0363 -0.6069 3.1743
2.3910 0.1917 9.5570
3.9695 -0.1917 3.1857
5.3241 0.6069 9.5683
6.9026 -0.6069 3.1970
0.8009 1.3814 6.3713
4.0319 1.4900 0.0000
3.9070 1.4900 6.3713
2.3794 -1.3814 0.0000
2.4534 -1.4900 6.3713
5.4855 -1.4900 0.0000
```

=====

7.
VASP calculation (GGA-PBE) on a relaxed Th3Mg4 crystal.

Space group   P6_3/m, No. 176
Spin magnetization   0.1 μB per cell
Uncorrected energy   -3.9266 eV per atom
Density   6.8 g cm⁻³
Offset from the most stable computed form   0.0 meV per atom

Cell and atoms, written as POSCAR:
```
Th3Mg4
1.0
9.1057 0.0000 0.0000
-4.5528 7.8858 0.0000
0.0000 0.0000 5.4215
Th Mg
6 8
Cartesian
-1.2415 3.7140 1.3554
-0.7157 7.1039 1.3554
2.5957 2.9321 4.0661
1.9572 4.9536 1.3554
5.2686 0.7818 4.0661
5.7943 4.1718 4.0661
-0.5885 1.7778 4.0661
-2.7189 7.5065 4.0661
1.2454 1.3986 1.3554
0.0000 5.2572 4.0661
4.5529 2.6286 1.3554
3.3075 6.4872 4.0661
7.2718 0.3792 1.3554
5.1414 6.1079 1.3554
```

=====

8.
VASP calculation (GGA-PBE) on a relaxed TbYCl6 crystal.

Space group   C2, No. 5
Spin magnetization   0.0 μB per cell
Uncorrected energy   -5.0465 eV per atom
Density   3.1 g cm⁻³

Cell and atoms, written as POSCAR:
```
TbYCl6
1.0
3.4368 -5.9742 0.0000
3.4368 5.9742 0.0000
-2.3063 0.0000 6.0463
Tb Y Cl
1 1 6
Cartesian
0.0000 0.0000 0.0000
3.4368 2.0239 0.0000
1.2342 1.8541 1.4612
-0.0952 0.1764 4.5838
0.9549 -1.9803 1.4923
3.3331 1.8541 4.5852
4.6625 0.1764 1.4626
3.6124 -1.9803 4.5541
```

=====

9.
VASP calculation (GGA-PBE) on a relaxed TlFeBi2 crystal.

Space group   F-43m, No. 216
Spin magnetization   3.1 μB per cell
Uncorrected energy   -4.0923 eV per atom
Density   10.4 g cm⁻³

Cell and atoms, written as POSCAR:
```
TlFeBi2
1.0
0.0000 3.7886 3.7886
3.7886 0.0000 3.7886
3.7886 3.7886 0.0000
Tl Fe Bi
1 1 2
Cartesian
0.0000 0.0000 0.0000
5.6830 5.6830 5.6830
1.8943 1.8943 1.8943
3.7886 3.7886 3.7886
```

=====

10.
VASP calculation (GGA-PBE) on a relaxed B4Os crystal.

Space group   P6_3/mmc, No. 194
Spin magnetization   0.0 μB per cell
Uncorrected energy   -6.9300 eV per atom
Density   9.8 g cm⁻³
Offset from the most stable computed form   718.6 meV per atom

Cell and atoms, written as POSCAR:
```
B4Os
1.0
5.3314 0.0000 0.0000
-2.6657 4.6171 0.0000
0.0000 0.0000 6.4566
B Os
16 4
Cartesian
-0.8923 1.5456 0.0000
-0.8923 1.5456 3.2283
-1.7734 3.0716 0.0000
-1.7734 3.0716 3.2283
0.0000 3.0781 0.7543
0.0000 3.0781 2.4740
1.7847 0.0000 0.0000
1.7847 0.0000 3.2283
0.8923 1.5456 0.0000
0.8923 1.5456 3.2283
3.5467 0.0000 0.0000
3.5467 0.0000 3.2283
1.7734 3.0716 0.0000
1.7734 3.0716 3.2283
2.6657 1.5390 3.9825
2.6657 1.5390 5.7023
0.0000 0.0000 1.6141
0.0000 0.0000 4.8424
0.0000 3.0781 4.8424
2.6657 1.5390 1.6141
```

=====

11.
VASP calculation (GGA-PBE) on a relaxed Y2HoMg3Ir3 crystal.

Space group   Amm2, No. 38
Spin magnetization   0.0 μB per cell
Uncorrected energy   -6.0922 eV per atom
Density   8.9 g cm⁻³

Cell and atoms, written as POSCAR:
```
Y2HoMg3Ir3
1.0
4.0502 0.0000 0.0000
0.0000 6.2799 3.6359
0.0000 -6.2799 3.6359
Y Ho Mg Ir
2 1 3 3
Cartesian
0.0000 -3.7103 3.6359
0.0000 3.7103 3.6359
0.0000 0.0000 2.8160
2.0251 0.0000 0.2873
2.0251 -1.5396 4.8926
2.0251 1.5396 4.8926
0.0000 0.0000 5.7677
2.0251 -2.0724 2.1528
2.0251 2.0724 2.1528
```

=====

12.
VASP calculation (GGA-PBE) on a relaxed Sc2ZnCo crystal.

Space group   Cmcm, No. 63
Spin magnetization   0.0 μB per cell
Uncorrected energy   -5.6055 eV per atom
Energy relative to the elements   -0.35 eV/atom
Density   5.3 g cm⁻³

Cell and atoms, written as POSCAR:
```
Sc2ZnCo
1.0
3.2727 -4.5649 0.0000
3.2727 4.5649 0.0000
0.0000 0.0000 4.4765
Sc Zn Co
4 2 2
Cartesian
1.5447 1.1382 1.1191
1.5447 -1.1382 3.3574
5.0007 1.1382 1.1191
5.0007 -1.1382 3.3574
3.2727 1.1048 3.3574
3.2727 -1.1048 1.1191
3.2727 3.4261 1.1191
3.2727 -3.4261 3.3574
```